Entry 1:
A geometry-optimized SmHoTlGa structure. Source: Alexandria via LeMat-Bulk, functional PBE.

a b c (Å): 5.2644 5.2644 5.2644
angles (deg): 60.00 60.00 60.00
Last column: nearest neighbours and their distance in Å.
Fractional positions:
Sm1 0.0000 0.0000 0.0000  4 Tl 3.22, 4 Ga 3.22
Ho1 0.5000 0.5000 0.5000  4 Ga 3.22, 4 Tl 3.22
Tl1 0.2500 0.2500 0.2500  4 Ho 3.22, 4 Sm 3.22
Ga1 0.7500 0.7500 0.7500  4 Ho 3.22, 4 Sm 3.22

Its density of states at the Fermi level is 0.475 states/eV per atom. The calculation puts the total energy at -4.104 eV per atom. The calculation puts the volume at 25.79 Å³ per atom. The calculation puts the energy relative to the elements at -0.431 eV per atom.

=====

Entry 2:
A geometry-optimized SmHoTlGa structure. Source: Alexandria via LeMat-Bulk, functional PBE.

a b c (Å): 3.6356 3.6356 7.7557
angles (deg): 90.00 90.00 90.00
Last column: nearest neighbours and their distance in Å.
Fractional positions:
Sm1 0.0000 0.0000 0.0000  4 Ga 3.17, 4 Tl 3.35
Ho1 0.0000 0.0000 0.4647  4 Ga 3.11, 4 Tl 3.26
Tl1 0.5000 0.5000 0.7237  4 Ho 3.26, 4 Sm 3.35, 4 Tl 3.64
Ga1 0.5000 0.5000 0.2400  4 Ho 3.11, 4 Sm 3.17

Its density of states at the Fermi level is 0.461 states/eV per atom. The calculation puts the total energy at -4.134 eV per atom. The calculation puts the volume at 25.63 Å³ per atom. The calculation puts the energy relative to the elements at -0.461 eV per atom.

=====

Entry 3:
A geometry-optimized SmHo2Zn2Ga2 structure. Source: Alexandria via LeMat-Bulk, functional PBE.

a b c (Å): 9.5295 9.5295 9.5295
angles (deg): 27.05 27.05 27.05
Last column: nearest neighbours and their distance in Å.
Fractional positions:
Sm1 0.0000 0.0000 0.0000  6 Zn 3.19, 6 Ga 3.28, 2 Ho 3.51
Ho1 0.1276 0.1276 0.1276  3 Ga 2.97, 3 Zn 3.05
Ho2 0.8724 0.8724 0.8724  3 Ga 2.97, 3 Zn 3.05
Zn1 0.4016 0.4016 0.4016  3 Ga 2.58
Zn2 0.5984 0.5984 0.5984  3 Ga 2.58
Ga1 0.2595 0.2595 0.2595  3 Zn 2.58
Ga2 0.7405 0.7405 0.7405  3 Zn 2.58

Its density of states at the Fermi level is 0.492 states/eV per atom. The calculation puts the total energy at -3.613 eV per atom. The calculation puts the volume at 22.56 Å³ per atom. The calculation puts the energy relative to the elements at -0.402 eV per atom.

=====

Entry 4:
A geometry-optimized Ho6Ga5Sn structure. Source: Alexandria via LeMat-Bulk, functional PBE.

a b c (Å): 6.3579 6.3579 8.6820
angles (deg): 96.39 96.39 118.06
Last column: nearest neighbours and their distance in Å.
Fractional positions:
Ho1 0.0553 0.4061 0.7265  5 Ga 2.92-3.11, 1 Sn 3.25
Ho2 0.2107 0.2107 0.2269  5 Ga 2.99-3.06, 1 Sn 3.01
Ho3 0.4061 0.0553 0.7265  5 Ga 2.92-3.11, 1 Sn 3.25
Ho4 0.5939 0.9447 0.2735  5 Ga 2.92-3.11, 1 Sn 3.25
Ho5 0.7893 0.7893 0.7731  5 Ga 2.99-3.06, 1 Sn 3.01
Ho6 0.9447 0.5939 0.2735  5 Ga 2.92-3.11, 1 Sn 3.25
Ga1 0.0000 0.0000 0.5000  6 Ho 2.92-2.99
Ga2 0.1998 0.8002 0.0000  6 Ho 2.96-3.09, 1 Sn 3.27
Ga3 0.3760 0.6240 0.5000  1 Ga 2.70, 4 Ho 2.96-3.02
Ga4 0.6240 0.3760 0.5000  1 Ga 2.70, 4 Ho 2.96-3.02
Ga5 0.8002 0.1998 0.0000  6 Ho 2.96-3.09, 1 Sn 3.27
Sn1 0.5000 0.5000 0.0000  6 Ho 3.01-3.25, 2 Ga 3.27

Its density of states at the Fermi level is 0.680 states/eV per atom. The calculation puts the total energy at -4.331 eV per atom. The calculation puts the volume at 25.20 Å³ per atom. The calculation puts the energy relative to the elements at -0.447 eV per atom.

=====

Entry 5:
A geometry-optimized HoGaSn2 structure. Source: Alexandria via LeMat-Bulk, functional PBE.

a b c (Å): 4.4587 4.4587 9.5695
angles (deg): 90.00 90.00 90.00
Last column: nearest neighbours and their distance in Å.
Fractional positions:
Ho1 0.2500 0.2500 0.2467  8 Sn 3.17-3.29, 4 Ga 3.25
Ho2 0.7500 0.7500 0.7533  8 Sn 3.17-3.29, 4 Ga 3.25
Ga1 0.2500 0.7500 0.0000  4 Sn 2.99, 4 Ga 3.15, 4 Ho 3.25
Ga2 0.7500 0.2500 0.0000  4 Sn 2.99, 4 Ga 3.15, 4 Ho 3.25
Sn1 0.2500 0.2500 0.7918  4 Ga 2.99, 4 Ho 3.17
Sn2 0.2500 0.7500 0.5000  4 Sn 3.15, 4 Ho 3.29
Sn3 0.7500 0.2500 0.5000  4 Sn 3.15, 4 Ho 3.29
Sn4 0.7500 0.7500 0.2082  4 Ga 2.99, 4 Ho 3.17

Its density of states at the Fermi level is 0.383 states/eV per atom. The calculation puts the total energy at -4.312 eV per atom. The calculation puts the volume at 23.78 Å³ per atom. The calculation puts the energy relative to the elements at -0.410 eV per atom.

=====

Entry 6:
A geometry-optimized Ho4Ga12Sn structure. Source: Alexandria via LeMat-Bulk, functional PBE.

a b c (Å): 7.6385 7.6385 7.6385
angles (deg): 109.47 109.47 109.47
Last column: nearest neighbours and their distance in Å.
Fractional positions:
Ho1 0.0000 0.0000 0.5000  12 Ga 3.12-3.18
Ho2 0.0000 0.5000 0.0000  12 Ga 3.12-3.18
Ho3 0.5000 0.0000 0.0000  12 Ga 3.12-3.18
Ho4 0.5000 0.5000 0.5000  12 Ga 3.12-3.18
Ga1 0.0000 0.3189 0.3189  4 Ga 2.72, 1 Sn 2.81
Ga2 0.0000 0.6811 0.6811  4 Ga 2.72, 1 Sn 2.81
Ga3 0.2500 0.5000 0.7500  4 Ga 2.72
Ga4 0.2500 0.7500 0.5000  4 Ga 2.72
Ga5 0.3189 0.0000 0.3189  4 Ga 2.72, 1 Sn 2.81
Ga6 0.3189 0.3189 0.0000  4 Ga 2.72, 1 Sn 2.81
Ga7 0.5000 0.2500 0.7500  4 Ga 2.72
Ga8 0.5000 0.7500 0.2500  4 Ga 2.72
Ga9 0.6811 0.0000 0.6811  4 Ga 2.72, 1 Sn 2.81
Ga10 0.6811 0.6811 0.0000  4 Ga 2.72, 1 Sn 2.81
Ga11 0.7500 0.2500 0.5000  4 Ga 2.72
Ga12 0.7500 0.5000 0.2500  4 Ga 2.72
Sn1 0.0000 0.0000 0.0000  6 Ga 2.81

Its density of states at the Fermi level is 0.601 states/eV per atom. The calculation puts the total energy at -3.881 eV per atom. The calculation puts the volume at 20.18 Å³ per atom. The calculation puts the energy relative to the elements at -0.432 eV per atom.

=====

Entry 7:
A geometry-optimized HoGa4Sn structure. Source: Alexandria via LeMat-Bulk, functional PBE.

a b c (Å): 5.5714 5.5714 5.5714
angles (deg): 60.00 60.00 60.00
Last column: nearest neighbours and their distance in Å.
Fractional positions:
Ho1 0.0000 0.0000 0.0000  12 Ga 3.27, 4 Sn 3.41
Ga1 0.1249 0.6250 0.6250  6 Ga 2.78-2.79
Ga2 0.6250 0.1249 0.6250  6 Ga 2.78-2.79
Ga3 0.6250 0.6250 0.1249  6 Ga 2.78-2.79
Ga4 0.6250 0.6250 0.6250  6 Ga 2.78-2.79
Sn1 0.2500 0.2500 0.2500  12 Ga 3.27, 4 Ho 3.41

Its density of states at the Fermi level is 0.448 states/eV per atom. The calculation puts the total energy at -3.686 eV per atom. The calculation puts the volume at 20.38 Å³ per atom. The calculation puts the energy relative to the elements at -0.238 eV per atom.

=====

Entry 8:
A geometry-optimized Ho7Ga2Sn2 structure. Source: Alexandria via LeMat-Bulk, functional PBE.

a b c (Å): 6.8166 6.8166 7.2073
angles (deg): 90.00 90.00 107.88
Last column: nearest neighbours and their distance in Å.
Fractional positions:
Ho1 0.0000 0.0000 0.0000  2 Ga 3.16
Ho2 0.0000 0.5000 0.2748  2 Ga 2.85
Ho3 0.0000 0.5000 0.7252  2 Ga 2.85
Ho4 0.5000 0.0000 0.2748  2 Ga 2.85
Ho5 0.5000 0.0000 0.7252  2 Ga 2.85
Ho6 0.5000 0.5000 0.2444  2 Ga 2.94, 2 Sn 3.15
Ho7 0.5000 0.5000 0.7556  2 Ga 2.94, 2 Sn 3.15
Ga1 0.2865 0.7135 0.0000  7 Ho 2.85-3.16
Ga2 0.7135 0.2865 0.0000  7 Ho 2.85-3.16
Sn1 0.1811 0.1811 0.5000  1 Sn 2.91, 6 Ho 3.15-3.25
Sn2 0.8189 0.8189 0.5000  1 Sn 2.91, 6 Ho 3.15-3.25

Its density of states at the Fermi level is 0.755 states/eV per atom. The calculation puts the total energy at -4.462 eV per atom. The calculation puts the volume at 28.97 Å³ per atom. The calculation puts the energy relative to the elements at -0.271 eV per atom.

=====

Entry 9:
A geometry-optimized Ho2GaSn structure. Source: Alexandria via LeMat-Bulk, functional PBE.

a b c (Å): 3.3967 3.3967 8.4602
angles (deg): 90.00 90.00 90.00
Last column: nearest neighbours and their distance in Å.
Fractional positions:
Ho1 0.0000 0.0000 0.2306  4 Ga 3.09, 4 Sn 3.31, 4 Ho 3.40
Ho2 0.0000 0.0000 0.7694  4 Ga 3.09, 4 Sn 3.31, 4 Ho 3.40
Ga1 0.5000 0.5000 0.0000  8 Ho 3.09, 4 Ga 3.40
Sn1 0.5000 0.5000 0.5000  8 Ho 3.31, 4 Sn 3.40

Its density of states at the Fermi level is 0.515 states/eV per atom. The calculation puts the total energy at -4.622 eV per atom. The calculation puts the volume at 24.40 Å³ per atom. The calculation puts the energy relative to the elements at -0.575 eV per atom.

=====

Entry 10:
A geometry-optimized HoGaSn2 structure. Source: Alexandria via LeMat-Bulk, functional PBE.

a b c (Å): 5.7967 5.7967 5.7967
angles (deg): 135.22 135.22 65.18
Last column: nearest neighbours and their distance in Å.
Fractional positions:
Ho1 0.0000 0.0000 0.0000  4 Ga 3.12, 8 Sn 3.29
Ga1 0.5000 0.5000 0.0000  4 Ho 3.12, 8 Sn 3.29
Sn1 0.2500 0.7500 0.5000  4 Sn 3.12, 4 Ho 3.29, 4 Ga 3.29
Sn2 0.7500 0.2500 0.5000  4 Sn 3.12, 4 Ho 3.29, 4 Ga 3.29

Its density of states at the Fermi level is 0.253 states/eV per atom. The calculation puts the total energy at -4.351 eV per atom. The calculation puts the volume at 23.81 Å³ per atom. The calculation puts the energy relative to the elements at -0.448 eV per atom.

=====

Entry 11:
A geometry-optimized Ho8Ga2Sn structure. Source: Alexandria via LeMat-Bulk, functional PBE.

a b c (Å): 8.6623 8.6623 7.8556
angles (deg): 110.83 110.83 32.60
Last column: nearest neighbours and their distance in Å.
Fractional positions:
Ho1 0.0496 0.0496 0.2332  1 Ga 3.03, 2 Ho 3.27
Ho2 0.1634 0.1634 0.7389  3 Ga 3.06-3.09, 4 Ho 3.35-3.42
Ho3 0.3210 0.3210 0.5540  1 Ga 2.94, 1 Sn 3.16, 4 Ho 3.27
Ho4 0.3971 0.3971 0.0402  3 Ga 3.12-3.47, 4 Ho 3.35-3.43, 1 Sn 3.38
Ho5 0.6029 0.6029 0.9598  3 Ga 3.12-3.47, 4 Ho 3.35-3.43, 1 Sn 3.38
Ho6 0.6790 0.6790 0.4460  1 Ga 2.94, 1 Sn 3.16, 4 Ho 3.27
Ho7 0.8366 0.8366 0.2611  3 Ga 3.06-3.09, 4 Ho 3.35-3.42
Ho8 0.9504 0.9504 0.7668  1 Ga 3.03, 2 Ho 3.27
Ga1 0.2160 0.2160 0.1601  7 Ho 2.94-3.12
Ga2 0.7840 0.7840 0.8399  7 Ho 2.94-3.12
Sn1 0.5000 0.5000 0.5000  8 Ho 3.16-3.50

Its density of states at the Fermi level is 1.005 states/eV per atom. The calculation puts the total energy at -4.581 eV per atom. The calculation puts the volume at 26.82 Å³ per atom. The calculation puts the energy relative to the elements at -0.337 eV per atom.

=====

Entry 12:
A geometry-optimized Ho2GaSn structure. Source: Alexandria via LeMat-Bulk, functional PBE.

a b c (Å): 5.9811 4.1372 8.6464
angles (deg): 90.00 107.89 90.00
Last column: nearest neighbours and their distance in Å.
Fractional positions:
Ho1 0.1970 0.2500 0.4251  3 Ga 3.04-3.35, 4 Sn 3.12-3.26
Ho2 0.2800 0.7500 0.0637  3 Ga 3.02-3.05, 3 Sn 3.14-3.28
Ho3 0.7200 0.2500 0.9363  3 Ga 3.02-3.05, 3 Sn 3.14-3.28
Ho4 0.8030 0.7500 0.5749  3 Ga 3.04-3.35, 4 Sn 3.12-3.26
Ga1 0.1210 0.2500 0.7932  2 Sn 2.79, 5 Ho 3.02-3.05
Ga2 0.8790 0.7500 0.2068  2 Sn 2.79, 5 Ho 3.02-3.05
Sn1 0.3760 0.7500 0.7100  2 Ga 2.79, 1 Ho 3.12
Sn2 0.6240 0.2500 0.2900  2 Ga 2.79, 1 Ho 3.12

Its density of states at the Fermi level is 0.800 states/eV per atom. The calculation puts the total energy at -4.739 eV per atom. The calculation puts the volume at 25.45 Å³ per atom. The calculation puts the energy relative to the elements at -0.693 eV per atom.